## i
A plane-wave DFT calculation with PBE-GGA was carried out for Mn2HSe after structural relaxation.

Geometry as POSCAR:
```
Mn2HSe
1.0
6.379 0.000 1.088
0.000 3.061 0.000
-2.318 0.000 4.802
Mn H Se
4 2 2
Direct
0.739 0.000 0.237
0.739 0.500 0.737
0.062 0.000 0.679
0.062 0.500 0.179
0.112 0.000 0.028
0.112 0.500 0.528
0.489 0.000 0.821
0.489 0.500 0.321
```

## Properties
density of states at the Fermi level = 2.97 states/eV per cell

---

## ii
A plane-wave DFT calculation with PBE-GGA was carried out for Mn2HSe after structural relaxation.

Geometry as POSCAR:
```
Mn2HSe
1.0
5.385 0.000 0.036
0.000 3.154 0.000
-0.416 0.000 6.486
Mn H Se
4 2 2
Direct
0.191 0.000 0.657
0.191 0.500 0.157
0.922 0.000 0.339
0.922 0.500 0.839
0.020 0.000 0.058
0.020 0.500 0.558
0.465 0.000 0.355
0.465 0.500 0.855
```

## Properties
density of states at the Fermi level = 4.61 states/eV per cell

---

## iii
A plane-wave DFT calculation with PBE-GGA was carried out for Mn2HSe after structural relaxation.

Geometry as POSCAR:
```
Mn2HSe
1.0
3.253 0.000 -0.006
0.000 3.233 0.000
-1.482 0.000 4.472
Mn H Se
2 1 1
Direct
0.436 0.000 0.134
0.738 0.500 0.781
0.666 0.500 0.123
0.135 0.000 0.561
```

## Properties
density of states at the Fermi level = 2.19 states/eV per cell

---

Most stable to least stable, the ends of the list are iii and ii.

---

## i
A plane-wave DFT calculation with PBE-GGA was carried out for Mn2HSe after structural relaxation.

Geometry as POSCAR:
```
Mn2HSe
1.0
0.000 2.782 2.782
2.782 0.000 2.782
2.782 2.782 0.000
H Mn Se
1 2 1
Direct
0.000 0.000 0.000
0.250 0.250 0.250
0.750 0.750 0.750
0.500 0.500 0.500
```

## Properties
density of states at the Fermi level = 2.91 states/eV per cell

---

## ii
A plane-wave DFT calculation with PBE-GGA was carried out for Mn2HSe after structural relaxation.

Geometry as POSCAR:
```
Mn2HSe
1.0
3.025 0.000 0.000
-1.512 2.620 0.000
0.000 0.000 6.031
Mn H Se
2 1 1
Direct
0.667 0.333 0.690
0.333 0.667 0.015
0.667 0.333 0.043
0.333 0.667 0.433
```

## Properties
density of states at the Fermi level = 1.30 states/eV per cell

---

Most stable to least stable, the ends of the list are ii and i.

---

## i
A plane-wave DFT calculation with PBE-GGA was carried out for Mn2HSe after structural relaxation.

Geometry as POSCAR:
```
Mn2HSe
1.0
3.192 0.000 0.049
0.000 3.194 0.000
-0.086 0.000 5.473
Mn H Se
2 1 1
Direct
0.545 0.500 0.813
0.045 0.000 0.137
0.045 0.500 0.976
0.545 0.000 0.475
```

## Properties
density of states at the Fermi level = 2.06 states/eV per cell

---

## ii
A plane-wave DFT calculation with PBE-GGA was carried out for Mn2HSe after structural relaxation.

Geometry as POSCAR:
```
Mn2HSe
1.0
3.018 -0.633 -0.315
0.628 3.031 -0.076
0.527 -0.031 5.307
Mn H Se
2 1 1
Direct
0.605 0.210 0.751
0.107 0.720 0.048
0.599 0.186 0.067
0.103 0.705 0.536
```

## Properties
density of states at the Fermi level = 3.12 states/eV per cell

---

## iii
A plane-wave DFT calculation with PBE-GGA was carried out for Mn2HSe after structural relaxation.

Geometry as POSCAR:
```
Mn2HSe
1.0
-0.275 2.536 -1.279
-0.055 -2.394 -1.552
-16.859 -0.857 1.921
Mn H Se
6 3 3
Direct
0.000 0.000 0.277
0.000 0.000 0.723
0.333 0.667 0.944
0.333 0.667 0.389
0.667 0.333 0.611
0.667 0.333 0.056
0.000 0.000 0.000
0.333 0.667 0.667
0.667 0.333 0.333
0.000 0.000 0.500
0.333 0.667 0.167
0.667 0.333 0.833
```

## Properties
density of states at the Fermi level = 9.28 states/eV per cell

---

## iv
A plane-wave DFT calculation with PBE-GGA was carried out for Mn2HSe after structural relaxation.

Geometry as POSCAR:
```
Mn2HSe
1.0
3.840 0.425 -0.204
1.522 3.489 0.126
0.332 1.741 4.839
Mn H Se
2 1 1
Direct
0.481 0.181 0.246
0.080 0.010 0.989
0.349 0.416 0.903
0.868 0.380 0.460
```

## Properties
density of states at the Fermi level = 0.89 states/eV per cell

---

Most stable to least stable, the ends of the list are iv and iii.

---

## i
A plane-wave DFT calculation with PBE-GGA was carried out for Mn2H2Se after structural relaxation.

Geometry as POSCAR:
```
Mn2H2Se
1.0
-0.050 -0.452 3.048
3.080 0.074 0.062
1.375 4.969 2.317
H Mn Se
2 2 1
Direct
0.750 0.250 0.500
0.250 0.750 0.500
0.352 0.352 0.295
0.648 0.648 0.705
0.000 0.000 0.000
```

## Properties
density of states at the Fermi level = 2.95 states/eV per cell

---

## ii
A plane-wave DFT calculation with PBE-GGA was carried out for Mn2H2Se after structural relaxation.

Geometry as POSCAR:
```
Mn2H2Se
1.0
-5.380 0.661 2.918
-1.316 -5.915 -1.087
1.173 -0.687 2.318
H Mn Se
4 4 2
Direct
0.102 0.602 0.500
0.602 0.898 0.500
0.898 0.398 0.500
0.398 0.102 0.500
0.383 0.883 0.000
0.883 0.617 0.000
0.617 0.117 0.000
0.117 0.383 0.000
0.000 0.000 0.000
0.500 0.500 0.000
```

## Properties
density of states at the Fermi level = 5.30 states/eV per cell

---

Most stable to least stable, the ends of the list are i and ii.

---

## i
A plane-wave DFT calculation with PBE-GGA was carried out for MnSi3H after structural relaxation.

Geometry as POSCAR:
```
MnSi3H
1.0
3.746 0.000 0.000
0.000 3.746 0.000
0.000 0.000 3.746
H Si Mn
1 3 1
Direct
0.000 0.000 0.000
0.000 0.500 0.000
0.000 0.000 0.500
0.500 0.000 0.000
0.500 0.500 0.500
```

## Properties
density of states at the Fermi level = 3.93 states/eV per cell

---

## ii
A plane-wave DFT calculation with PBE-GGA was carried out for MnSi3H after structural relaxation.

Geometry as POSCAR:
```
MnSi3H
1.0
-1.367 -4.018 -0.779
3.779 -0.924 -1.867
1.572 -1.273 3.811
H Si Mn
1 3 1
Direct
0.500 0.500 0.500
0.000 0.500 0.000
0.000 0.000 0.500
0.500 0.000 0.000
0.000 0.000 0.000
```

## Properties
density of states at the Fermi level = 0.00 states/eV per cell

---

Most stable to least stable, the ends of the list are ii and i.

---

## i
A plane-wave DFT calculation with PBE-GGA was carried out for Mn2SiH after structural relaxation.

Geometry as POSCAR:
```
Mn2SiH
1.0
2.631 0.000 0.000
1.316 2.279 0.000
1.316 0.760 5.915
H Si Mn
1 1 2
Direct
0.000 0.000 0.000
0.500 0.500 0.500
0.276 0.276 0.173
0.724 0.724 0.827
```

## Properties
density of states at the Fermi level = 1.85 states/eV per cell

---

## ii
A plane-wave DFT calculation with PBE-GGA was carried out for Mn2SiH after structural relaxation.

Geometry as POSCAR:
```
Mn2SiH
1.0
0.290 -1.188 3.709
-2.396 1.466 2.713
-2.793 -2.242 1.556
H Si Mn
1 1 2
Direct
0.000 0.000 0.000
0.500 0.500 0.500
0.250 0.250 0.250
0.750 0.750 0.750
```

## Properties
density of states at the Fermi level = 2.54 states/eV per cell

---

## iii
A plane-wave DFT calculation with PBE-GGA was carried out for Mn2SiH after structural relaxation.

Geometry as POSCAR:
```
Mn2SiH
1.0
-1.323 2.155 3.467
-1.590 -3.629 1.649
2.600 -1.574 4.627
H Si Mn
2 2 4
Direct
0.500 0.500 0.000
0.250 0.750 0.500
0.000 0.000 0.000
0.750 0.250 0.500
0.413 0.125 0.250
0.337 0.625 0.250
0.375 0.587 0.750
0.875 0.663 0.750
```

## Properties
density of states at the Fermi level = 6.59 states/eV per cell

---

Most stable to least stable, the ends of the list are i and iii.

---

## i
A plane-wave DFT calculation with PBE-GGA was carried out for Mn2SnH after structural relaxation.

Geometry as POSCAR:
```
Mn2SnH
1.0
-0.837 -1.985 2.102
1.931 -2.115 0.926
2.386 2.383 5.358
H Mn Sn
1 2 1
Direct
0.000 0.000 0.000
0.287 0.287 0.140
0.713 0.713 0.860
0.500 0.500 0.500
```

## Properties
density of states at the Fermi level = 2.17 states/eV per cell

---

## ii
A plane-wave DFT calculation with PBE-GGA was carried out for Mn2SnH after structural relaxation.

Geometry as POSCAR:
```
Mn2SnH
1.0
-3.326 2.005 1.955
-0.600 4.269 -0.564
-3.364 1.430 -2.354
H Mn Sn
1 2 1
Direct
0.000 0.000 0.000
0.250 0.250 0.250
0.750 0.750 0.750
0.500 0.500 0.500
```

## Properties
density of states at the Fermi level = 2.65 states/eV per cell

---

Most stable to least stable, the ends of the list are i and ii.

---

## i
A plane-wave DFT calculation with PBE-GGA was carried out for MnSnH after structural relaxation.

Geometry as POSCAR:
```
MnSnH
1.0
4.103 0.000 0.000
-2.052 4.399 -0.594
0.000 -3.135 4.850
H Mn Sn
2 2 2
Direct
0.127 0.253 0.433
0.626 0.251 0.235
0.627 0.254 0.959
0.125 0.251 0.710
0.876 0.753 0.835
0.376 0.752 0.334
```

## Properties
density of states at the Fermi level = 2.39 states/eV per cell

---

## ii
A plane-wave DFT calculation with PBE-GGA was carried out for MnSnH after structural relaxation.

Geometry as POSCAR:
```
MnSnH
1.0
4.011 0.000 0.000
0.000 3.261 0.000
0.000 -1.631 2.824
H Mn Sn
1 1 1
Direct
0.167 0.333 0.667
0.167 0.000 0.000
0.667 0.667 0.333
```

## Properties
density of states at the Fermi level = 1.34 states/eV per cell

---

Most stable to least stable, the ends of the list are ii and i.

---

## i
A plane-wave DFT calculation with PBE-GGA was carried out for SrMn2H8 after structural relaxation.

Geometry as POSCAR:
```
SrMn2H8
1.0
-1.299 -4.588 0.896
3.233 -1.470 -2.854
0.958 0.593 4.414
Sr Mn H
1 2 8
Direct
0.074 0.997 0.997
0.571 0.663 0.330
0.571 0.330 0.663
0.346 0.997 0.541
0.346 0.541 0.997
0.648 0.712 0.712
0.901 0.331 0.664
0.901 0.664 0.331
0.346 0.452 0.452
0.648 0.282 0.997
0.648 0.997 0.282
```

## Properties
density of states at the Fermi level = 3.58 states/eV per cell

---

## ii
A plane-wave DFT calculation with PBE-GGA was carried out for SrMn2H8 after structural relaxation.

Geometry as POSCAR:
```
SrMn2H8
1.0
-0.997 3.237 -1.529
-3.361 -2.334 -2.744
-1.419 1.648 4.421
Sr Mn H
1 2 8
Direct
0.500 0.000 0.000
0.000 0.325 0.675
0.000 0.675 0.325
0.999 0.976 0.674
0.999 0.674 0.976
0.229 0.502 0.502
0.500 0.690 0.310
0.500 0.310 0.690
0.771 0.498 0.498
0.001 0.326 0.024
0.001 0.024 0.326
```

## Properties
density of states at the Fermi level = 3.86 states/eV per cell

---

Most stable to least stable, the ends of the list are i and ii.

---

## i
A plane-wave DFT calculation with PBE-GGA was carried out for SrMnH6 after structural relaxation.

Geometry as POSCAR:
```
SrMnH6
1.0
5.587 0.000 0.000
2.794 4.839 0.000
2.794 1.613 4.562
Sr Mn H
1 1 6
Direct
0.500 0.500 0.500
0.000 0.000 0.000
0.794 0.794 0.206
0.794 0.206 0.206
0.206 0.794 0.794
0.206 0.206 0.794
0.206 0.794 0.206
0.794 0.206 0.794
```

## Properties
density of states at the Fermi level = 0.00 states/eV per cell

---

## ii
A plane-wave DFT calculation with PBE-GGA was carried out for SrMnH6 after structural relaxation.

Geometry as POSCAR:
```
SrMnH6
1.0
4.706 -0.878 -1.392
-1.400 4.522 0.668
-0.830 1.626 4.418
Sr Mn H
1 1 6
Direct
0.500 0.500 0.500
0.000 0.000 0.000
0.222 0.911 0.911
0.776 0.599 0.089
0.224 0.401 0.911
0.778 0.089 0.089
0.224 0.911 0.401
0.776 0.089 0.599
```

---

Most stable to least stable, the ends of the list are ii and i.

---

## i
A plane-wave DFT calculation with PBE-GGA was carried out for Ta2MnH2 after structural relaxation.

Geometry as POSCAR:
```
Ta2MnH2
1.0
2.984 0.000 0.000
0.000 2.984 0.000
0.000 0.000 6.096
Ta Mn H
2 1 2
Direct
0.500 0.500 0.744
0.500 0.500 0.256
0.000 0.000 0.000
0.500 0.000 0.500
0.000 0.500 0.500
```

## Properties
density of states at the Fermi level = 2.63 states/eV per cell

---

## ii
A plane-wave DFT calculation with PBE-GGA was carried out for Ta2MnH2 after structural relaxation.

Geometry as POSCAR:
```
Ta2MnH2
1.0
-0.149 2.980 -4.502
-3.071 -1.276 -3.449
-4.006 3.438 -0.272
Ta Mn H
4 2 4
Direct
0.589 0.316 0.269
0.773 0.965 0.765
0.227 0.035 0.235
0.411 0.684 0.731
0.917 0.691 0.248
0.083 0.309 0.752
0.533 0.720 0.007
0.812 0.353 0.477
0.467 0.280 0.993
0.188 0.647 0.523
```

## Properties
density of states at the Fermi level = 5.73 states/eV per cell

---

Most stable to least stable, the ends of the list are i and ii.